1.
{
  "formula": "PmHoMnAl",
  "functional": "PBE-GGA",
  "state": "relaxed",
  "spacegroup": "No. 216",
  "crystal_system": "cubic",
  "cell": [[-2.0938, 3.1555, -3.4629], [-4.9481, -0.4988, -1.2648], [-3.3980, 3.5471, 1.4847]],
  "species": ["Al", "Mn", "Ho", "Pm"],
  "fractional_positions": [[0.5000, 0.5000, 0.5000], [0.0000, 0.0000, 0.0000], [0.2500, 0.2500, 0.2500], [0.7500, 0.7500, 0.7500]]
}

***

2.
{
  "formula": "PrHoMnAl",
  "functional": "PBE-GGA",
  "state": "relaxed",
  "spacegroup": "No. 216",
  "crystal_system": "cubic",
  "cell": [[5.1726, 0.0000, 0.0000], [2.5863, 4.4796, 0.0000], [2.5863, 1.4932, 4.2234]],
  "species": ["Pr", "Mn", "Ho", "Al"],
  "fractional_positions": [[0.7500, 0.7500, 0.7500], [0.0000, 0.0000, 0.0000], [0.2500, 0.2500, 0.2500], [0.5000, 0.5000, 0.5000]]
}

***

3.
{
  "formula": "Ho2MnAl4Pt3",
  "functional": "PBE-GGA",
  "state": "relaxed",
  "spacegroup": "No. 115",
  "crystal_system": "tetragonal",
  "cell": [[-2.0966, 2.3425, -2.6072], [1.6332, -2.0351, -3.1418], [-8.3137, -7.1186, 0.2896]],
  "species": ["Ho", "Ho", "Mn", "Al", "Al", "Al", "Al", "Pt", "Pt", "Pt"],
  "fractional_positions": [[0.5000, 0.0000, 0.2527], [0.0000, 0.5000, 0.7473], [0.5000, 0.5000, 0.5000], [0.5000, 0.5000, 0.0000], [0.0000, 0.0000, 0.0000], [0.5000, 0.0000, 0.6347], [0.0000, 0.5000, 0.3653], [0.0000, 0.0000, 0.5000], [0.5000, 0.0000, 0.8620], [0.0000, 0.5000, 0.1380]]
}

***

4.
{
  "formula": "Ho2MnAl2Ru5",
  "functional": "PBE-GGA",
  "state": "relaxed",
  "spacegroup": "No. 127",
  "crystal_system": "tetragonal",
  "cell": [[3.2793, 0.0000, 0.0000], [0.0000, 9.9813, 0.0000], [0.0000, 0.0000, 9.9813]],
  "species": ["Ho", "Ho", "Ho", "Ho", "Mn", "Mn", "Al", "Al", "Al", "Al", "Ru", "Ru", "Ru", "Ru", "Ru", "Ru", "Ru", "Ru", "Ru", "Ru"],
  "fractional_positions": [[0.0000, 0.6711, 0.1711], [0.0000, 0.3289, 0.8289], [0.0000, 0.1711, 0.3289], [0.0000, 0.8289, 0.6711], [0.0000, 0.0000, 0.0000], [0.0000, 0.5000, 0.5000], [0.0000, 0.1290, 0.6290], [0.0000, 0.8710, 0.3710], [0.0000, 0.6290, 0.8710], [0.0000, 0.3710, 0.1290], [0.5000, 0.1932, 0.0630], [0.5000, 0.8068, 0.9370], [0.5000, 0.0630, 0.8068], [0.5000, 0.6932, 0.4370], [0.5000, 0.9370, 0.1932], [0.5000, 0.3068, 0.5630], [0.5000, 0.5630, 0.6932], [0.5000, 0.4370, 0.3068], [0.5000, 0.5000, 0.0000], [0.5000, 0.0000, 0.5000]]
}

***

5.
{
  "formula": "HoScMnAl",
  "functional": "PBE-GGA",
  "state": "relaxed",
  "spacegroup": "No. 216",
  "crystal_system": "cubic",
  "cell": [[4.9065, 0.0000, 0.0000], [2.4533, 4.2492, 0.0000], [2.4533, 1.4164, 4.0062]],
  "species": ["Sc", "Mn", "Ho", "Al"],
  "fractional_positions": [[0.7500, 0.7500, 0.7500], [0.5000, 0.5000, 0.5000], [0.2500, 0.2500, 0.2500], [0.0000, 0.0000, 0.0000]]
}

***

6.
{
  "formula": "SmHoMnAl",
  "functional": "PBE-GGA",
  "state": "relaxed",
  "spacegroup": "No. 216",
  "crystal_system": "cubic",
  "cell": [[-3.8411, 2.8398, -1.8382], [-4.5176, -2.1703, -1.0387], [-4.0644, 1.0179, 2.9398]],
  "species": ["Mn", "Ho", "Sm", "Al"],
  "fractional_positions": [[0.0000, 0.0000, 0.0000], [0.2500, 0.2500, 0.2500], [0.7500, 0.7500, 0.7500], [0.5000, 0.5000, 0.5000]]
}

***

7.
{
  "formula": "TbHoMnAl",
  "functional": "PBE-GGA",
  "state": "relaxed",
  "spacegroup": "No. 216",
  "crystal_system": "cubic",
  "cell": [[-1.4202, 4.8679, 0.2157], [-3.6834, 1.7063, -3.0464], [-4.5243, 1.2401, 1.9371]],
  "species": ["Mn", "Tb", "Ho", "Al"],
  "fractional_positions": [[0.0000, 0.0000, 0.0000], [0.2500, 0.2500, 0.2500], [0.7500, 0.7500, 0.7500], [0.5000, 0.5000, 0.5000]]
}

***

8.
{
  "formula": "HoTmMnAl",
  "functional": "PBE-GGA",
  "state": "relaxed",
  "spacegroup": "No. 216",
  "crystal_system": "cubic",
  "cell": [[5.0285, 0.0000, 0.0000], [2.5142, 4.3548, 0.0000], [2.5142, 1.4516, 4.1057]],
  "species": ["Tm", "Ho", "Mn", "Al"],
  "fractional_positions": [[0.7500, 0.7500, 0.7500], [0.2500, 0.2500, 0.2500], [0.0000, 0.0000, 0.0000], [0.5000, 0.5000, 0.5000]]
}

***

9.
{
  "formula": "YHoMnAl",
  "functional": "PBE-GGA",
  "state": "relaxed",
  "spacegroup": "No. 216",
  "crystal_system": "cubic",
  "cell": [[5.0767, 0.0000, 0.0000], [2.5384, 4.3966, 0.0000], [2.5384, 1.4655, 4.1451]],
  "species": ["Y", "Mn", "Ho", "Al"],
  "fractional_positions": [[0.2500, 0.2500, 0.2500], [0.0000, 0.0000, 0.0000], [0.7500, 0.7500, 0.7500], [0.5000, 0.5000, 0.5000]]
}

***

10.
{
  "formula": "HoAlMo",
  "functional": "PBE-GGA",
  "state": "relaxed",
  "spacegroup": "No. 74",
  "crystal_system": "orthorhombic",
  "polymorph_energy_mev_per_atom": 0.0,
  "cell": [[-5.0791, 1.5512, -0.6442], [-3.5163, -3.3743, -2.6140], [-3.9575, -2.5166, 2.9305]],
  "species": ["Ho", "Ho", "Al", "Al", "Mo", "Mo"],
  "fractional_positions": [[0.8820, 0.3680, 0.3680], [0.1180, 0.6320, 0.6320], [0.5000, 0.5000, 0.0000], [0.5000, 0.0000, 0.5000], [0.0000, 0.0000, 0.0000], [0.5000, 0.0000, 0.0000]]
}

***

11.
{
  "formula": "HoAlMo",
  "functional": "PBE-GGA",
  "state": "relaxed",
  "spacegroup": "No. 189",
  "crystal_system": "hexagonal",
  "polymorph_energy_mev_per_atom": 222.2,
  "cell": [[-0.0335, 3.9954, -2.3596], [1.3712, -3.4122, -5.7971], [-6.5110, 1.0660, 1.8974]],
  "species": ["Al", "Al", "Al", "Ho", "Ho", "Ho", "Mo", "Mo", "Mo"],
  "fractional_positions": [[0.5000, 0.6667, 0.3333], [0.5000, 0.3333, 0.6667], [0.0000, 0.0000, 0.0000], [0.0000, 0.5616, 0.5616], [0.0000, 0.0000, 0.4384], [0.0000, 0.4384, 0.0000], [0.5000, 0.0000, 0.7892], [0.5000, 0.7892, 0.0000], [0.5000, 0.2108, 0.2108]]
}

***

12.
{
  "formula": "HoAl2Mo",
  "functional": "PBE-GGA",
  "state": "relaxed",
  "spacegroup": "No. 166",
  "crystal_system": "trigonal",
  "cell": [[3.0197, 0.0000, 0.0000], [1.5099, 2.6152, 0.0000], [1.5099, 0.8717, 9.6592]],
  "species": ["Mo", "Ho", "Al", "Al"],
  "fractional_positions": [[0.0000, 0.0000, 0.0000], [0.5000, 0.5000, 0.5000], [0.7398, 0.7398, 0.7807], [0.2602, 0.2602, 0.2193]]
}

***

no.,N(E_F) (states/eV per cell),total energy (eV per atom)
1,4.4,-5.6080
2,4.5,-5.5929
3,4.9,-6.0612
4,15.0,-7.5100
5,5.3,-6.0621
6,4.4,-5.6058
7,4.7,-5.6042
8,4.7,-5.5777
9,5.0,-6.0710
10,4.5,-6.6598
11,9.9,-6.4376
12,1.9,-5.6540